The following is a DFT calculation (PBE) of PmNbGa2O8 after structural relaxation.

## Properties
Total moment ... 2.08 μB/f.u.
Formation energy without anion corrections ... -189 kJ/mol of atoms
Calculated total energy ... -84.10 eV for the cell shown

a = 5.8937 Å, b = 5.8937 Å, c = 5.8937 Å
α = 107.86°, β = 107.86°, γ = 112.74°
With the nearest neighbours (Å) after each atom.
Element x y z (fractional)
Pm 0.0000 0.0000 0.0000  8 O 2.31-2.51
Nb 0.2500 0.7500 0.5000  8 O 2.09-2.19
Ga 0.5000 0.5000 0.0000  4 O 1.86
Ga 0.7500 0.2500 0.5000  4 O 1.84
O 0.3160 0.1109 0.7948  1 Ga 1.86
O 0.3160 0.5212 0.2052  1 Ga 1.86
O 0.3642 0.0333 0.3309  1 Ga 1.84
O 0.4788 0.6840 0.7948  1 Ga 1.86
O 0.7024 0.0333 0.6691  1 Ga 1.84
O 0.8891 0.6840 0.2052  1 Ga 1.86
O 0.9667 0.2976 0.3309  1 Ga 1.84
O 0.9667 0.6358 0.6691  1 Ga 1.84